Here is a relaxed CsLi2AsI6 crystal from Alexandria via LeMat-Bulk. Energies are from PBE.

Calculated values
Raw total energy = -53.64 eV per cell
Space group = No. 15

a b c (Å): 9.074 10.611 10.611
angles (deg): 97.56 82.49 82.49
Fractional coordinates of all 20 atoms:
I (0.049, 0.626, 0.158)
I (0.549, 0.158, 0.626)
I (0.574, 0.590, 0.679)
I (0.677, 0.740, 0.998)
I (0.451, 0.842, 0.374)
I (0.823, 0.002, 0.260)
I (0.323, 0.260, 0.002)
I (0.074, 0.679, 0.590)
I (0.426, 0.410, 0.321)
I (0.926, 0.321, 0.410)
I (0.951, 0.374, 0.842)
I (0.177, 0.998, 0.740)
Cs (0.750, 0.094, 0.906)
Cs (0.250, 0.906, 0.094)
As (0.250, 0.232, 0.768)
As (0.750, 0.768, 0.232)
Li (0.382, 0.634, 0.501)
Li (0.618, 0.366, 0.499)
Li (0.118, 0.499, 0.366)
Li (0.882, 0.501, 0.634)

***

Here is a relaxed Cs2MoAsI6 crystal from Alexandria via LeMat-Bulk. Energies are from PBE.

Calculated values
Raw total energy = -31.80 eV per cell
Space group = No. 139

a b c (Å): 8.259 8.259 8.595
angles (deg): 61.29 61.29 90.00
Site moments in Bohr magnetons follow the coordinates.
Fractional coordinates of all 10 atoms:
Cs (0.750, 0.250, 0.500)  0.00
Cs (0.250, 0.750, 0.500)  0.00
I (0.249, 0.751, 0.000)  0.02
I (0.224, 0.224, 0.552)  0.04
I (0.776, 0.776, 0.448)  0.04
I (0.751, 0.751, 0.000)  0.03
I (0.249, 0.249, 0.000)  0.03
I (0.751, 0.249, 0.000)  0.02
As (0.500, 0.500, 0.000)  0.59
Mo (0.000, 0.000, 0.000)  2.91

***

Here is a relaxed CsAsIN2 crystal from Alexandria via LeMat-Bulk. Energies are from PBE.

Calculated values
Offset from the most stable computed form = 0 meV/atom
Raw total energy = -17.77 eV per cell
Space group = No. 123

a b c (Å): 4.725 4.725 5.889
angles (deg): 90.00 90.00 90.00
Site moments in Bohr magnetons follow the coordinates.
Fractional coordinates of all 5 atoms:
As (0.000, 0.000, 0.000)  -0.14
Cs (0.500, 0.500, 0.500)  0.00
N (0.500, 0.000, 0.000)  1.07
N (0.000, 0.500, 0.000)  1.07
I (0.000, 0.000, 0.500)  0.04

***

Here is a relaxed CsAsIN2 crystal from Alexandria via LeMat-Bulk. Energies are from PBE.

Calculated values
Offset from the most stable computed form = 1088 meV/atom
Raw total energy = -12.33 eV per cell
Space group = No. 123

a b c (Å): 4.528 4.528 7.906
angles (deg): 90.00 90.00 90.00
Site moments in Bohr magnetons follow the coordinates.
Fractional coordinates of all 5 atoms:
N (0.500, 0.000, 0.000)  0.74
N (0.000, 0.500, 0.000)  0.74
As (0.500, 0.500, 0.500)  0.52
Cs (0.000, 0.000, 0.000)  0.00
I (0.000, 0.000, 0.500)  0.03

***

Here is a relaxed CsNa2AsI6 crystal from Alexandria via LeMat-Bulk. Energies are from PBE.

Calculated values
Raw total energy = -25.84 eV per cell
Space group = No. 1

a b c (Å): 8.187 8.184 8.895
angles (deg): 62.62 62.60 59.97
Fractional coordinates of all 10 atoms:
I (0.185, 0.329, 0.767)
I (0.720, 0.184, 0.767)
I (0.953, 0.556, 0.224)
I (0.268, 0.953, 0.224)
I (0.556, 0.268, 0.224)
I (0.329, 0.720, 0.767)
As (0.334, 0.334, 0.997)
Na (0.524, 0.524, 0.428)
Na (0.993, 0.993, 0.023)
Cs (0.802, 0.802, 0.595)

***

Here is a relaxed Cs2AsI6O crystal from Alexandria via LeMat-Bulk. Energies are from PBE.

Calculated values
Raw total energy = -26.09 eV per cell
Space group = No. 139

a b c (Å): 7.618 7.618 8.599
angles (deg): 63.71 63.71 90.00
Fractional coordinates of all 10 atoms:
As (0.000, 0.000, 0.000)
I (0.269, 0.731, 0.000)
I (0.216, 0.216, 0.568)
I (0.784, 0.784, 0.432)
I (0.731, 0.731, 0.000)
I (0.269, 0.269, 0.000)
I (0.731, 0.269, 0.000)
Cs (0.250, 0.750, 0.500)
Cs (0.750, 0.250, 0.500)
O (0.500, 0.500, 0.000)